{
  "formula": "TaZn2Os",
  "functional": "SCAN",
  "state": "single point on PBEsol structure",
  "cell": [[2.588, -4.150, 0.000], [2.588, 4.150, 0.000], [0.000, 0.000, 2.738]],
  "species": ["Ta", "Zn", "Zn", "Os"],
  "fractional_positions": [[0.000, 0.000, 0.000], [0.000, 0.500, 0.500], [0.500, 0.000, 0.500], [0.500, 0.500, 0.000]],
  "formation_enthalpy_0k_ev_per_fu": 0.7,
  "final_energy_ev_per_atom": -41.20
}